(1)
{
  "formula": "TaIn2Se",
  "functional": "PBE-GGA",
  "state": "optimized geometry",
  "formation_energy_uncorrected_ev_per_atom": 0.01,
  "n_ef_per_ev_cell": 2.9,
  "space_group": "Amm2 (38)",
  "rho_g_cm3": 9.4,
  "lattice_angstrom": [[4.608, 0.000, 0.000], [0.000, 3.451, 0.000], [0.000, 0.000, 10.870]],
  "species": ["Ta", "Ta", "In", "In", "In", "In", "Se", "Se"],
  "frac_coords": [[0.000, 0.000, 0.000], [0.000, 0.500, 0.500], [0.000, 0.000, 0.270], [0.000, 0.500, 0.770], [0.500, 0.000, 0.602], [0.500, 0.500, 0.102], [0.500, 0.000, 0.876], [0.500, 0.500, 0.376]]
}

(2)
{
  "formula": "TaIn2Se",
  "functional": "PBE-GGA",
  "state": "optimized geometry",
  "formation_energy_uncorrected_ev_per_atom": 0.31,
  "n_ef_per_ev_cell": 6.2,
  "space_group": "Immm (71)",
  "rho_g_cm3": 9.8,
  "lattice_angstrom": [[3.426, 0.000, 0.000], [0.000, 4.842, 0.000], [0.000, 0.000, 10.032]],
  "species": ["Ta", "Ta", "In", "In", "In", "In", "Se", "Se"],
  "frac_coords": [[0.000, 0.000, 0.000], [0.500, 0.500, 0.500], [0.000, 0.500, 0.250], [0.000, 0.500, 0.750], [0.500, 0.000, 0.250], [0.500, 0.000, 0.750], [0.000, 0.000, 0.500], [0.500, 0.500, 0.000]]
}

(3)
{
  "formula": "Ta2InSe",
  "functional": "PBE-GGA",
  "state": "optimized geometry",
  "formation_energy_uncorrected_ev_per_atom": -0.09,
  "n_ef_per_ev_cell": 6.0,
  "de_polymorph_mev_per_atom": 0,
  "space_group": "R3m (160)",
  "rho_g_cm3": 10.9,
  "lattice_angstrom": [[3.266, 0.000, 0.000], [-1.633, 2.829, 0.000], [0.000, 0.000, 27.588]],
  "species": ["Ta", "Ta", "Ta", "Ta", "Ta", "Ta", "In", "In", "In", "Se", "Se", "Se"],
  "frac_coords": [[0.000, 0.000, 0.000], [0.000, 0.000, 0.257], [0.333, 0.667, 0.667], [0.333, 0.667, 0.924], [0.667, 0.333, 0.333], [0.667, 0.333, 0.591], [0.000, 0.000, 0.753], [0.333, 0.667, 0.419], [0.667, 0.333, 0.086], [0.000, 0.000, 0.525], [0.333, 0.667, 0.192], [0.667, 0.333, 0.859]]
}

(4)
{
  "formula": "TaInSe2",
  "functional": "PBE-GGA",
  "state": "optimized geometry",
  "formation_energy_uncorrected_ev_per_atom": -0.39,
  "n_ef_per_ev_cell": 2.6,
  "space_group": "Cm (8)",
  "rho_g_cm3": 8.1,
  "lattice_angstrom": [[9.116, 0.000, 0.000], [0.000, 3.338, 0.000], [-2.404, 0.000, 6.125]],
  "species": ["Ta", "Ta", "In", "In", "Se", "Se", "Se", "Se"],
  "frac_coords": [[0.000, 0.000, 0.000], [0.500, 0.500, 0.000], [0.359, 0.000, 0.592], [0.859, 0.500, 0.592], [0.040, 0.500, 0.320], [0.197, 0.500, 0.947], [0.540, 0.000, 0.320], [0.697, 0.000, 0.947]]
}

(5)
{
  "formula": "TaInSe2",
  "functional": "PBE-GGA",
  "state": "optimized geometry",
  "formation_energy_uncorrected_ev_per_atom": -0.62,
  "n_ef_per_ev_cell": 2.9,
  "space_group": "P-6m2 (187)",
  "rho_g_cm3": 8.1,
  "lattice_angstrom": [[3.448, 0.000, 0.000], [-1.724, 2.986, 0.000], [0.000, 0.000, 9.047]],
  "species": ["Ta", "In", "Se", "Se"],
  "frac_coords": [[0.000, 0.000, 0.000], [0.667, 0.333, 0.500], [0.333, 0.667, 0.187], [0.333, 0.667, 0.813]]
}

(6)
{
  "formula": "TaInSe2",
  "functional": "PBE-GGA",
  "state": "optimized geometry",
  "formation_energy_uncorrected_ev_per_atom": -0.30,
  "n_ef_per_ev_cell": 7.0,
  "space_group": "P2_1/c (14)",
  "rho_g_cm3": 8.5,
  "lattice_angstrom": [[6.213, 0.000, 0.000], [0.000, 5.112, 0.000], [-3.418, 0.000, 11.226]],
  "species": ["Ta", "Ta", "Ta", "Ta", "In", "In", "In", "In", "Se", "Se", "Se", "Se", "Se", "Se", "Se", "Se"],
  "frac_coords": [[0.190, 0.129, 0.478], [0.190, 0.371, 0.978], [0.810, 0.629, 0.022], [0.810, 0.871, 0.522], [0.186, 0.096, 0.752], [0.186, 0.404, 0.252], [0.814, 0.596, 0.748], [0.814, 0.904, 0.248], [0.199, 0.651, 0.553], [0.199, 0.849, 0.053], [0.423, 0.631, 0.852], [0.423, 0.869, 0.352], [0.577, 0.131, 0.648], [0.577, 0.369, 0.148], [0.801, 0.151, 0.947], [0.801, 0.349, 0.447]]
}

(7)
{
  "formula": "Ta2InSe",
  "functional": "PBE-GGA",
  "state": "optimized geometry",
  "formation_energy_uncorrected_ev_per_atom": 0.23,
  "n_ef_per_ev_cell": 5.2,
  "de_polymorph_mev_per_atom": 327,
  "space_group": "Cmmm (65)",
  "rho_g_cm3": 12.0,
  "lattice_angstrom": [[3.291, 0.000, 0.000], [0.000, 5.159, 0.000], [0.000, 0.000, 9.022]],
  "species": ["Ta", "Ta", "Ta", "Ta", "In", "In", "Se", "Se"],
  "frac_coords": [[0.000, 0.000, 0.228], [0.000, 0.000, 0.772], [0.500, 0.500, 0.228], [0.500, 0.500, 0.772], [0.000, 0.500, 0.500], [0.500, 0.000, 0.500], [0.000, 0.500, 0.000], [0.500, 0.000, 0.000]]
}

(8)
{
  "formula": "TaInSe2",
  "functional": "PBE-GGA",
  "state": "optimized geometry",
  "formation_energy_uncorrected_ev_per_atom": -0.48,
  "n_ef_per_ev_cell": 9.6,
  "space_group": "Pnma (62)",
  "rho_g_cm3": 6.8,
  "lattice_angstrom": [[7.390, 0.000, 0.000], [0.000, 3.427, 0.000], [0.000, 0.000, 17.520]],
  "species": ["Ta", "Ta", "Ta", "Ta", "In", "In", "In", "In", "Se", "Se", "Se", "Se", "Se", "Se", "Se", "Se"],
  "frac_coords": [[0.062, 0.250, 0.063], [0.438, 0.750, 0.563], [0.562, 0.250, 0.437], [0.938, 0.750, 0.937], [0.044, 0.250, 0.651], [0.456, 0.750, 0.151], [0.544, 0.250, 0.849], [0.956, 0.750, 0.349], [0.041, 0.750, 0.173], [0.235, 0.250, 0.488], [0.265, 0.750, 0.988], [0.459, 0.250, 0.673], [0.541, 0.750, 0.327], [0.735, 0.250, 0.012], [0.765, 0.750, 0.512], [0.959, 0.250, 0.827]]
}

(9)
{
  "formula": "TaIn3Se",
  "functional": "PBE-GGA",
  "state": "optimized geometry",
  "formation_energy_uncorrected_ev_per_atom": 1.23,
  "n_ef_per_ev_cell": 5.8,
  "de_polymorph_mev_per_atom": 388,
  "space_group": "Pm-3m (221)",
  "rho_g_cm3": 7.0,
  "lattice_angstrom": [[5.225, 0.000, 0.000], [0.000, 5.225, 0.000], [0.000, 0.000, 5.225]],
  "species": ["Ta", "In", "In", "In", "Se"],
  "frac_coords": [[0.000, 0.000, 0.000], [0.000, 0.500, 0.500], [0.500, 0.000, 0.500], [0.500, 0.500, 0.000], [0.500, 0.500, 0.500]]
}

(10)
{
  "formula": "Ta3InSe",
  "functional": "PBE-GGA",
  "state": "optimized geometry",
  "formation_energy_uncorrected_ev_per_atom": 0.85,
  "n_ef_per_ev_cell": 4.6,
  "de_polymorph_mev_per_atom": 0,
  "space_group": "Pm-3m (221)",
  "rho_g_cm3": 11.4,
  "lattice_angstrom": [[4.751, 0.000, 0.000], [0.000, 4.751, 0.000], [0.000, 0.000, 4.751]],
  "species": ["Ta", "Ta", "Ta", "In", "Se"],
  "frac_coords": [[0.000, 0.000, 0.500], [0.000, 0.500, 0.000], [0.500, 0.000, 0.000], [0.500, 0.500, 0.500], [0.000, 0.000, 0.000]]
}

(11)
{
  "formula": "Ta2InSe",
  "functional": "PBE-GGA",
  "state": "optimized geometry",
  "formation_energy_uncorrected_ev_per_atom": 0.42,
  "n_ef_per_ev_cell": 7.1,
  "de_polymorph_mev_per_atom": 513,
  "space_group": "I-4m2 (119)",
  "rho_g_cm3": 12.1,
  "lattice_angstrom": [[4.112, 0.000, 0.000], [0.000, 4.112, 0.000], [0.000, 0.000, 9.013]],
  "species": ["Ta", "Ta", "Ta", "Ta", "In", "In", "Se", "Se"],
  "frac_coords": [[0.000, 0.000, 0.000], [0.000, 0.500, 0.250], [0.500, 0.000, 0.750], [0.500, 0.500, 0.500], [0.000, 0.500, 0.750], [0.500, 0.000, 0.250], [0.000, 0.000, 0.500], [0.500, 0.500, 0.000]]
}

(12)
{
  "formula": "TaIn2Se",
  "functional": "PBE-GGA",
  "state": "optimized geometry",
  "formation_energy_uncorrected_ev_per_atom": 0.02,
  "n_ef_per_ev_cell": 4.7,
  "space_group": "Cmm2 (35)",
  "rho_g_cm3": 8.5,
  "lattice_angstrom": [[3.449, 0.000, 0.000], [0.000, 5.261, 0.000], [0.000, 0.000, 10.560]],
  "species": ["Ta", "Ta", "In", "In", "In", "In", "Se", "Se"],
  "frac_coords": [[0.000, 0.000, 0.000], [0.500, 0.500, 0.000], [0.000, 0.000, 0.507], [0.000, 0.500, 0.772], [0.500, 0.000, 0.772], [0.500, 0.500, 0.507], [0.000, 0.500, 0.178], [0.500, 0.000, 0.178]]
}

(13)
{
  "formula": "Ta2InSe",
  "functional": "PBE-GGA",
  "state": "optimized geometry",
  "formation_energy_uncorrected_ev_per_atom": 0.34,
  "n_ef_per_ev_cell": 22.8,
  "de_polymorph_mev_per_atom": 433,
  "space_group": "Fm-3m (225)",
  "rho_g_cm3": 12.5,
  "lattice_angstrom": [[6.661, 0.000, 0.000], [0.000, 6.661, 0.000], [0.000, 0.000, 6.661]],
  "species": ["Ta", "Ta", "Ta", "Ta", "Ta", "Ta", "Ta", "Ta", "In", "In", "In", "In", "Se", "Se", "Se", "Se"],
  "frac_coords": [[0.250, 0.250, 0.250], [0.250, 0.250, 0.750], [0.250, 0.750, 0.250], [0.250, 0.750, 0.750], [0.750, 0.250, 0.250], [0.750, 0.250, 0.750], [0.750, 0.750, 0.250], [0.750, 0.750, 0.750], [0.000, 0.000, 0.000], [0.000, 0.500, 0.500], [0.500, 0.000, 0.500], [0.500, 0.500, 0.000], [0.000, 0.000, 0.500], [0.000, 0.500, 0.000], [0.500, 0.000, 0.000], [0.500, 0.500, 0.500]]
}

(14)
{
  "formula": "TaIn2Se",
  "functional": "PBE-GGA",
  "state": "optimized geometry",
  "formation_energy_uncorrected_ev_per_atom": 0.33,
  "n_ef_per_ev_cell": 3.1,
  "space_group": "Pmmm (47)",
  "rho_g_cm3": 9.6,
  "lattice_angstrom": [[3.265, 0.000, 0.000], [0.000, 4.889, 0.000], [0.000, 0.000, 5.328]],
  "species": ["Ta", "In", "In", "Se"],
  "frac_coords": [[0.000, 0.000, 0.000], [0.000, 0.500, 0.500], [0.500, 0.000, 0.500], [0.500, 0.500, 0.000]]
}